K2MgBiF8: relaxed, PBE.

Computed properties:
The calculation puts the formation energy (no corrections) at -3045 kJ/mol of formula units. The density of states at the Fermi level comes out at 0.26 states/eV/atom. Its theoretical density is 3678 kg/m³. Its total energy is -54.20 eV per cell. For the volume, the calculation gives 17.44 Å³ per atom.

a = 4.785 Å, b = 6.123 Å, c = 7.168 Å
α = 90.00°, β = 90.00°, γ = 94.85°
Each line ends with the local moment (μB).
Fractional coordinates of all 12 atoms:
Bi: 0.000 0.000 0.500  -0.17
F: 0.691 0.789 0.000  -0.02
F: 0.309 0.211 0.000  -0.02
F: 0.625 0.780 0.500  -0.13
F: 0.128 0.814 0.256  -0.11
F: 0.375 0.220 0.500  -0.13
F: 0.872 0.186 0.744  -0.11
F: 0.128 0.814 0.744  -0.11
F: 0.872 0.186 0.256  -0.11
K: 0.500 0.500 0.232  0.00
K: 0.500 0.500 0.768  0.00
Mg: 0.000 0.000 0.000  0.00